Record 1
Density functional theory data (PBE-GGA) for a geometry-optimized LuAl2In structure.

Unit cell a=4.9722 b=4.9722 c=4.9722 alpha=60.00 beta=60.00 gamma=60.00
Last column: nearest neighbours and their distance in Å.
Fractional positions:
Al: 0.0000 0.0000 0.0000  4 In 3.04, 4 Al 3.04
Al: 0.2500 0.2500 0.2500  4 Al 3.04, 4 Lu 3.04
In: 0.7500 0.7500 0.7500  4 Al 3.04, 4 Lu 3.04
Lu: 0.5000 0.5000 0.5000  4 In 3.04, 4 Al 3.04

Computed properties:
Its space group is No. 216. The crystal system is cubic. The raw total energy comes out at -14.8 eV per cell.



Record 2
Density functional theory data (PBE-GGA) for a geometry-optimized Lu4AlInN2 structure.

Unit cell a=3.4042 b=3.4042 c=15.1649 alpha=90.00 beta=90.00 gamma=120.00
Last column: nearest neighbours and their distance in Å.
Fractional positions:
Al: 0.0000 0.0000 0.0000  6 Lu 3.11, 6 Al 3.40
In: 0.6667 0.3333 0.5000  6 Lu 3.23, 6 In 3.40
Lu: 0.6667 0.3333 0.1589  3 N 2.38
Lu: 0.0000 0.0000 0.3308  3 N 2.34
Lu: 0.0000 0.0000 0.6692  3 N 2.34
Lu: 0.6667 0.3333 0.8411  3 N 2.38
N: 0.3333 0.6667 0.2472  6 Lu 2.34-2.38
N: 0.3333 0.6667 0.7528  6 Lu 2.34-2.38

Computed properties:
Its space group is No. 187. The crystal system is hexagonal. The raw total energy comes out at -49.6 eV per cell.



Record 3
Density functional theory data (PBE-GGA) for a geometry-optimized Na2Mg2AlInPt2 structure.

Unit cell a=4.6303 b=4.6303 c=6.6643 alpha=90.00 beta=90.00 gamma=90.00
Last column: nearest neighbours and their distance in Å.
Fractional positions:
Al: 0.5000 0.5000 0.0000  4 Pt 2.78, 4 Na 2.82
In: 0.0000 0.0000 0.5000  4 Na 2.88, 4 Pt 2.93
Mg: 0.0000 0.0000 0.0000  4 Pt 2.78, 4 Na 2.82
Mg: 0.5000 0.5000 0.5000  4 Na 2.88, 4 Pt 2.93
Na: 0.0000 0.5000 0.2420  2 Al 2.82, 4 Mg 2.82-2.88, 2 In 2.88, 1 Pt 3.14
Na: 0.5000 0.0000 0.7580  4 Mg 2.82-2.88, 2 Al 2.82, 2 In 2.88, 1 Pt 3.14
Pt: 0.5000 0.0000 0.2298  4 Mg 2.78-2.93, 2 Al 2.78, 2 In 2.93
Pt: 0.0000 0.5000 0.7702  2 Al 2.78, 4 Mg 2.78-2.93, 2 In 2.93

Computed properties:
Its space group is No. 115. The crystal system is tetragonal. The raw total energy comes out at -27.7 eV per cell.



Record 4
Density functional theory data (PBE-GGA) for a geometry-optimized TbNd2Mg3Al2In structure.

Unit cell a=4.6667 b=7.5074 c=7.5074 alpha=119.43 beta=90.00 gamma=90.00
Last column: nearest neighbours and their distance in Å.
Fractional positions:
Al: 0.5000 0.6631 0.3348  3 Mg 2.87-2.92, 2 Tb 3.20
Al: 0.5000 0.3348 0.6631  3 Mg 2.87-2.92, 2 Tb 3.20
In: 0.0000 0.0048 0.0048  6 Mg 2.96-3.01, 1 Tb 3.25, 2 Nd 3.29
Mg: 0.5000 0.2461 0.0005  2 Al 2.89-2.92, 2 In 2.96, 2 Mg 3.18-3.22
Mg: 0.5000 0.0005 0.2461  2 Al 2.89-2.92, 2 In 2.96, 2 Mg 3.18-3.22
Mg: 0.5000 0.7539 0.7539  2 Al 2.87, 2 In 3.01
Nd: 0.0000 0.9989 0.5638  4 Al 3.24, 1 In 3.29, 2 Mg 3.34
Nd: 0.0000 0.5638 0.9989  4 Al 3.24, 1 In 3.29, 2 Mg 3.34
Tb: 0.0000 0.4340 0.4340  4 Al 3.20, 1 In 3.25, 2 Mg 3.36

Computed properties:
Its space group is No. 38. The crystal system is orthorhombic. The raw total energy comes out at -32.2 eV per cell.



Record 5
Density functional theory data (PBE-GGA) for a geometry-optimized MgAlInNi structure.

Unit cell a=4.5543 b=4.5543 c=4.5543 alpha=60.00 beta=60.00 gamma=60.00
Last column: nearest neighbours and their distance in Å.
Fractional positions:
Al: 0.5000 0.5000 0.5000  4 Ni 2.79, 4 Mg 2.79
In: 0.0000 0.0000 0.0000  4 Ni 2.79, 4 Mg 2.79
Mg: 0.7500 0.7500 0.7500  4 In 2.79, 4 Al 2.79
Ni: 0.2500 0.2500 0.2500  4 In 2.79, 4 Al 2.79

Computed properties:
Its space group is No. 216. The crystal system is cubic. The raw total energy comes out at -13.6 eV per cell. The value obtained for the energy above the most stable polymorph in this dataset is 0 meV/atom.



Record 6
Density functional theory data (PBE-GGA) for a geometry-optimized MgAlInNi structure.

Unit cell a=4.6004 b=4.6004 c=4.6004 alpha=60.00 beta=60.00 gamma=60.00
Last column: nearest neighbours and their distance in Å.
Fractional positions:
Al: 0.0000 0.0000 0.0000  4 Mg 2.82, 4 In 2.82
In: 0.2500 0.2500 0.2500  4 Ni 2.82, 4 Al 2.82
Mg: 0.7500 0.7500 0.7500  4 Ni 2.82, 4 Al 2.82
Ni: 0.5000 0.5000 0.5000  4 In 2.82, 4 Mg 2.82

Computed properties:
Its space group is No. 216. The crystal system is cubic. The raw total energy comes out at -13.4 eV per cell. The value obtained for the energy above the most stable polymorph in this dataset is 50 meV/atom.



Record 7
Density functional theory data (PBE-GGA) for a geometry-optimized MgAlInPd structure.

Unit cell a=4.6738 b=4.6738 c=4.6738 alpha=60.00 beta=60.00 gamma=60.00
Last column: nearest neighbours and their distance in Å.
Fractional positions:
Al: 0.2500 0.2500 0.2500  4 Pd 2.86, 4 In 2.86
In: 0.0000 0.0000 0.0000  4 Al 2.86, 4 Mg 2.86
Mg: 0.7500 0.7500 0.7500  4 In 2.86, 4 Pd 2.86
Pd: 0.5000 0.5000 0.5000  4 Al 2.86, 4 Mg 2.86

Computed properties:
Its space group is No. 216. The crystal system is cubic. The raw total energy comes out at -14.2 eV per cell. The value obtained for the energy above the most stable polymorph in this dataset is 0 meV/atom.



Record 8
Density functional theory data (PBE-GGA) for a geometry-optimized Mg4AlInPd2 structure.

Unit cell a=4.5382 b=4.5382 c=8.5309 alpha=90.00 beta=90.00 gamma=120.00
Last column: nearest neighbours and their distance in Å.
Fractional positions:
Al: 0.0000 0.0000 0.0000  3 Pd 2.62
In: 0.0000 0.0000 0.5000  3 Pd 2.62
Mg: 0.6667 0.3333 0.1685  4 Pd 2.83-2.99, 4 Mg 2.88-2.94, 3 Al 2.99
Mg: 0.3333 0.6667 0.3254  4 Pd 2.78-3.01, 4 Mg 2.94-2.98, 3 In 3.01
Mg: 0.3333 0.6667 0.6746  4 Pd 2.78-3.01, 4 Mg 2.94-2.98, 3 In 3.01
Mg: 0.6667 0.3333 0.8315  4 Pd 2.83-2.99, 4 Mg 2.88-2.94, 3 Al 2.99
Pd: 0.3333 0.6667 0.0000  3 Al 2.62, 2 Mg 2.78
Pd: 0.6667 0.3333 0.5000  3 In 2.62, 2 Mg 2.83

Computed properties:
Its space group is No. 187. The crystal system is hexagonal. The raw total energy comes out at -26.6 eV per cell. The value obtained for the energy above the most stable polymorph in this dataset is 0 meV/atom.



Record 9
Density functional theory data (PBE-GGA) for a geometry-optimized Mg4AlInPd2 structure.

Unit cell a=6.2315 b=7.8780 c=7.8780 alpha=34.54 beta=90.00 gamma=90.00
Last column: nearest neighbours and their distance in Å.
Fractional positions:
Al: 0.5000 0.2519 0.2519  3 Pd 2.35-2.41
In: 0.5000 0.9152 0.9152  2 Pd 2.65-2.69, 4 Mg 2.91
Mg: 0.2237 0.4022 0.4022  2 Mg 2.79-2.99, 1 Al 2.84, 2 In 2.91
Mg: 0.7763 0.4022 0.4022  2 Mg 2.79-2.99, 1 Al 2.84, 2 In 2.91
Mg: 0.2490 0.6004 0.6004  3 Pd 2.57-2.82
Mg: 0.7510 0.6004 0.6004  3 Pd 2.57-2.82
Pd: 0.5000 0.0917 0.0917  1 Al 2.41, 1 In 2.65
Pd: 0.5000 0.7361 0.7361  2 Al 2.35, 2 Mg 2.57

Computed properties:
Its space group is No. 38. The crystal system is orthorhombic. The raw total energy comes out at -22.5 eV per cell. The value obtained for the energy above the most stable polymorph in this dataset is 512 meV/atom.



Record 10
Density functional theory data (PBE-GGA) for a geometry-optimized TbPr2Mg3Al2In structure.

Unit cell a=4.6808 b=7.5335 c=7.5335 alpha=119.32 beta=90.00 gamma=90.00
Last column: nearest neighbours and their distance in Å.
Fractional positions:
Al: 0.5000 0.6649 0.3378  3 Mg 2.88-2.94, 2 Tb 3.20
Al: 0.5000 0.3378 0.6649  3 Mg 2.88-2.94, 2 Tb 3.20
In: 0.0000 0.9940 0.9940  6 Mg 2.97-3.03, 1 Tb 3.25, 2 Pr 3.30
Mg: 0.5000 0.2461 0.2461  2 Al 2.88, 2 In 3.03
Mg: 0.5000 0.9991 0.7541  2 Al 2.91-2.94, 2 In 2.97, 2 Mg 3.19-3.23
Mg: 0.5000 0.7541 0.9991  2 Al 2.91-2.94, 2 In 2.97, 2 Mg 3.19-3.23
Pr: 0.0000 0.4358 0.0013  4 Al 3.26, 1 In 3.30, 2 Mg 3.36
Pr: 0.0000 0.0013 0.4358  4 Al 3.26, 1 In 3.30, 2 Mg 3.36
Tb: 0.0000 0.5669 0.5669  4 Al 3.20, 1 In 3.25, 2 Mg 3.38

Computed properties:
Its space group is No. 38. The crystal system is orthorhombic. The raw total energy comes out at -32.2 eV per cell.



Record 11
Density functional theory data (PBE-GGA) for a geometry-optimized Mg4AlInPt2 structure.

Unit cell a=8.5232 b=4.5423 c=4.5423 alpha=59.84 beta=90.00 gamma=90.00
Last column: nearest neighbours and their distance in Å.
Fractional positions:
Al: 0.0000 0.9984 0.9984  3 Pt 2.62
In: 0.5000 0.0014 0.0014  3 Pt 2.62
Mg: 0.3253 0.3339 0.3339  4 Pt 2.77-3.03, 4 Mg 2.94-2.98, 3 In 3.01-3.02
Mg: 0.6747 0.3339 0.3339  4 Pt 2.77-3.03, 4 Mg 2.94-2.98, 3 In 3.01-3.02
Mg: 0.1687 0.6660 0.6660  4 Pt 2.82-3.00, 4 Mg 2.87-2.94, 3 Al 2.99
Mg: 0.8313 0.6660 0.6660  4 Pt 2.82-3.00, 4 Mg 2.87-2.94, 3 Al 2.99
Pt: 0.0000 0.3317 0.3317  3 Al 2.62, 2 Mg 2.77
Pt: 0.5000 0.6686 0.6686  3 In 2.62, 2 Mg 2.82

Computed properties:
Its space group is No. 38. The crystal system is orthorhombic. The raw total energy comes out at -29.6 eV per cell.



Record 12
Density functional theory data (PBE-GGA) for a geometry-optimized TbTm2Mg3Al2In structure.

Unit cell a=4.5840 b=7.3627 c=7.3627 alpha=120.34 beta=90.00 gamma=90.00
Last column: nearest neighbours and their distance in Å.
Fractional positions:
Al: 0.5000 0.6674 0.3314  3 Mg 2.82-2.84, 4 Tm 3.15
Al: 0.5000 0.3314 0.6674  3 Mg 2.82-2.84, 4 Tm 3.15
In: 0.0000 0.0032 0.0032  6 Mg 2.90-2.93, 2 Tm 3.21, 1 Tb 3.24
Mg: 0.5000 0.7540 0.0000  2 Al 2.82, 2 In 2.93, 2 Mg 3.13-3.14
Mg: 0.5000 0.2462 0.2462  2 Al 2.84, 2 In 2.90, 2 Mg 3.13
Mg: 0.5000 0.0000 0.7540  2 Al 2.82, 2 In 2.93, 2 Mg 3.13-3.14
Tb: 0.0000 0.5610 0.5610  4 Al 3.17, 1 In 3.24, 2 Mg 3.25
Tm: 0.0000 0.9992 0.4375  4 Al 3.15, 1 In 3.21, 2 Mg 3.27
Tm: 0.0000 0.4375 0.9992  4 Al 3.15, 1 In 3.21, 2 Mg 3.27

Computed properties:
Its space group is No. 38. The crystal system is orthorhombic. The raw total energy comes out at -31.4 eV per cell.